[1]
## Sr3Al4Pd4 (GGA-PBE)

Data for a geometry-optimized Sr3Al4Pd4 structure.

Unit cell a=8.420 b=8.420 c=8.420 alpha=149.95 beta=127.38 gamma=61.79
Sites, in units of the cell vectors:
Sr1 0.000 0.000 0.000
Sr2 0.381 0.881 0.500
Sr3 0.619 0.119 0.500
Al1 0.012 0.321 0.691
Al2 0.370 0.679 0.691
Al3 0.630 0.321 0.309
Al4 0.988 0.679 0.309
Pd1 0.219 0.219 0.000
Pd2 0.293 0.500 0.793
Pd3 0.707 0.500 0.207
Pd4 0.781 0.781 0.000

Results
Space group   Immm
D(E_F)   0.497 states/eV/atom
Energy of formation from the pure elements   -0.657 eV/atom

[2]
## LiGaC (GGA-PBE)

Data for a geometry-optimized LiGaC structure.

Unit cell a=6.057 b=6.668 c=8.955 alpha=90.00 beta=90.00 gamma=90.00
Sites, in units of the cell vectors:
Li1 0.000 0.000 0.000
Li2 0.000 0.500 0.000
Li3 0.500 0.000 0.500
Li4 0.500 0.500 0.500
Ga1 0.250 0.250 0.250
Ga2 0.250 0.750 0.750
Ga3 0.750 0.250 0.250
Ga4 0.750 0.750 0.750
C1 0.000 0.250 0.132
C2 0.000 0.750 0.868
C3 0.500 0.250 0.368
C4 0.500 0.750 0.632

Results
Space group   Imma
D(E_F)   0.000 states/eV/atom
Energy of formation from the pure elements   0.533 eV/atom

[3]
## NaAc2Er (GGA-PBE)

Data for a geometry-optimized NaAc2Er structure.

Unit cell a=6.209 b=6.209 c=4.014 alpha=90.00 beta=90.00 gamma=90.00
Sites, in units of the cell vectors:
Na1 0.000 0.000 0.000
Ac1 0.000 0.500 0.500
Ac2 0.500 0.000 0.500
Er1 0.500 0.500 0.000

Results
Space group   P4/mmm
D(E_F)   1.253 states/eV/atom
Energy of formation from the pure elements   0.152 eV/atom
E above lowest polymorph   29 meV/atom

[4]
## DyPa2Se5 (GGA-PBE)

Data for a geometry-optimized DyPa2Se5 structure.

Unit cell a=8.089 b=12.429 c=3.983 alpha=90.00 beta=90.00 gamma=90.00
Sites, in units of the cell vectors:
Dy1 0.000 0.000 0.000
Dy2 0.500 0.500 0.000
Pa1 0.023 0.321 0.500
Pa2 0.477 0.821 0.500
Pa3 0.523 0.179 0.500
Pa4 0.977 0.679 0.500
Se1 0.000 0.500 0.000
Se2 0.175 0.106 0.500
Se3 0.185 0.803 0.000
Se4 0.315 0.303 0.000
Se5 0.325 0.606 0.500
Se6 0.500 0.000 0.000
Se7 0.675 0.394 0.500
Se8 0.685 0.697 0.000
Se9 0.815 0.197 0.000
Se10 0.825 0.894 0.500

Results
Space group   Pbam
D(E_F)   1.109 states/eV/atom
E above lowest polymorph   0 meV/atom

[5]
## KRe3Sn (GGA-PBE)

Data for a geometry-optimized KRe3Sn structure.

Unit cell a=4.616 b=4.616 c=4.616 alpha=90.00 beta=90.00 gamma=90.00
Sites, in units of the cell vectors:
K1 0.000 0.000 0.000
Re1 0.000 0.000 0.500
Re2 0.000 0.500 0.000
Re3 0.500 0.000 0.000
Sn1 0.500 0.500 0.500

Results
Space group   Pm-3m
D(E_F)   1.203 states/eV/atom
Energy of formation from the pure elements   3.666 eV/atom
E above lowest polymorph   947 meV/atom

[6]
## TbHo2Tm (GGA-PBE)

Data for a geometry-optimized TbHo2Tm structure.

Unit cell a=7.941 b=7.941 c=7.941 alpha=90.00 beta=90.00 gamma=90.00
Sites, in units of the cell vectors:
Tb1 0.000 0.000 0.000
Tb2 0.000 0.500 0.500
Tb3 0.500 0.000 0.500
Tb4 0.500 0.500 0.000
Ho1 0.250 0.250 0.250
Ho2 0.250 0.250 0.750
Ho3 0.250 0.750 0.250
Ho4 0.250 0.750 0.750
Ho5 0.750 0.250 0.250
Ho6 0.750 0.250 0.750
Ho7 0.750 0.750 0.250
Ho8 0.750 0.750 0.750
Tm1 0.000 0.000 0.500
Tm2 0.000 0.500 0.000
Tm3 0.500 0.000 0.000
Tm4 0.500 0.500 0.500

Results
Space group   Fm-3m
D(E_F)   2.521 states/eV/atom
Energy of formation from the pure elements   0.145 eV/atom
E above lowest polymorph   142 meV/atom